[1]
A relaxed structure of Y5UC5, computed with PBE.

Results
calculated total energy = -8.430 eV/atom
energy relative to the elements = -273 meV/atom
space group = C2/m

a = 5.054 Å, b = 6.247 Å, c = 7.160 Å
α = 106.95°, β = 90.00°, γ = 113.86°
Element x y z (fractional)
C 0.845 0.689 0.686
C 0.500 0.000 0.000
C 0.155 0.311 0.314
C 0.848 0.696 0.161
C 0.152 0.304 0.839
Y 0.329 0.657 0.155
Y 0.000 0.000 0.500
Y 0.671 0.343 0.845
Y 0.320 0.641 0.673
Y 0.680 0.359 0.327
U 0.000 0.000 0.000



[2]
A relaxed structure of U2ZnC, computed with PBE.

Results
calculated total energy = -8.046 eV/atom
energy relative to the elements = 223 meV/atom
space group = R-3m

a = 3.097 Å, b = 3.097 Å, c = 9.538 Å
α = 80.66°, β = 80.66°, γ = 60.00°
Element x y z (fractional)
U 0.888 0.888 0.337
U 0.112 0.112 0.663
C 0.500 0.500 0.500
Zn 0.000 0.000 0.000



[3]
A relaxed structure of Zr3UC4, computed with PBE.

Results
calculated total energy = -9.890 eV/atom
energy relative to the elements = -661 meV/atom
space group = I4/mmm

a = 4.793 Å, b = 4.793 Å, c = 5.870 Å
α = 114.09°, β = 114.09°, γ = 90.00°
Element x y z (fractional)
C 0.242 0.242 0.483
C 0.500 0.000 0.000
C 0.000 0.500 0.000
C 0.758 0.758 0.517
U 0.000 0.000 0.000
Zr 0.750 0.250 0.500
Zr 0.250 0.750 0.500
Zr 0.500 0.500 0.000



Question: Which of these has the lowest energy relative to the elements?
Answer: Zr3UC4